Below is a relaxed structure of Ta2TePb, with properties calculated at the PBE level.

total magnetic moment = 0.000 μB/f.u.
mass density = 13.20 Mg/m³
DOS at the Fermi energy = 6.4 states/eV/cell
uncorrected formation energy = 649 meV/atom

Lattice parameters (Å, degrees): 3.3364 5.4873 9.5748 90.00 90.00 90.00
Space group Immm (No. 71)
Asymmetric unit:
Ta (0.0000, 0.0000, 0.2379) x4
Te (0.0000, 0.5000, 0.5000) x2
Pb (0.0000, 0.5000, 0.0000) x2